Entry 1:
Ac2PmPr4Nd2: relaxed, PBE.

Lattice parameters (Å, degrees): 9.999 9.999 10.128 115.15 115.15 21.91
Fractional coordinates of all 9 atoms:
Ac 0.147 0.147 0.167
Ac 0.853 0.853 0.833
Pm 0.000 0.000 0.500
Pr 0.183 0.183 0.829
Pr 0.482 0.482 0.178
Pr 0.518 0.518 0.822
Pr 0.817 0.817 0.171
Nd 0.335 0.335 0.496
Nd 0.665 0.665 0.504

Output
As for the magnetic moment: 0.000 μB per cell. The energy relative to the elements is 0.026 eV/atom. The energy comes out at -4.60 eV per atom.



Entry 2:
ScAlP: relaxed, PBE.

Lattice parameters (Å, degrees): 7.830 7.830 7.830 32.93 32.93 32.93
Fractional coordinates of all 6 atoms:
Sc 0.095 0.095 0.095
Sc 0.905 0.905 0.905
Al 0.322 0.322 0.322
Al 0.678 0.678 0.678
P 0.216 0.216 0.216
P 0.784 0.784 0.784

Output
As for the magnetic moment: 0.000 μB per cell. The energy relative to the elements is -0.639 eV/atom. The energy comes out at -5.80 eV per atom.



Entry 3:
Cs2Na2SrF7: relaxed, PBE.

Lattice parameters (Å, degrees): 4.318 4.318 12.047 98.99 98.99 89.20
Fractional coordinates of all 12 atoms:
Cs 0.190 0.190 0.362
Cs 0.810 0.810 0.638
Na 0.389 0.389 0.810
Na 0.611 0.611 0.190
Sr 0.000 0.000 0.000
F 0.091 0.593 0.140
F 0.300 0.300 0.617
F 0.407 0.909 0.860
F 0.500 0.500 0.000
F 0.593 0.091 0.140
F 0.700 0.700 0.383
F 0.909 0.407 0.860

Output
As for the magnetic moment: 1.102 μB per cell. The raw formation energy comes out at -2.73 eV/atom. The energy comes out at -4.33 eV per atom.



Entry 4:
ZrCuReBi: relaxed, PBE.

Lattice parameters (Å, degrees): 3.503 3.503 6.285 90.00 90.00 90.00
Fractional coordinates of all 4 atoms:
Zr 0.000 0.000 0.000
Cu 0.500 0.500 0.771
Re 0.500 0.500 0.209
Bi 0.000 0.000 0.499

Output
As for the magnetic moment: 0.000 μB per cell. The energy above the lowest structure with this stoichiometry is 0.0000 eV per atom. The energy relative to the elements is 0.169 eV/atom. The energy comes out at -7.07 eV per atom.



Entry 5:
YTlSeN2: relaxed, PBE.

Lattice parameters (Å, degrees): 4.275 4.275 5.592 90.00 90.00 90.00
Fractional coordinates of all 5 atoms:
Y 0.000 0.000 0.000
Tl 0.500 0.500 0.500
Se 0.500 0.500 0.000
N 0.000 0.500 0.500
N 0.500 0.000 0.500

Output
As for the magnetic moment: 1.501 μB per cell. The raw formation energy comes out at 0.88 eV/atom. The energy above the lowest structure with this stoichiometry is 0.4142 eV per atom. The energy comes out at -4.92 eV per atom.



Entry 6:
LiPa2Ni4As3: relaxed, PBE.

Lattice parameters (Å, degrees): 3.962 3.962 9.998 90.00 90.00 90.00
Fractional coordinates of all 10 atoms:
Li 0.000 0.000 0.000
Pa 0.000 0.500 0.746
Pa 0.500 0.000 0.254
Ni 0.000 0.000 0.500
Ni 0.000 0.500 0.139
Ni 0.500 0.000 0.861
Ni 0.500 0.500 0.500
As 0.000 0.500 0.368
As 0.500 0.000 0.632
As 0.500 0.500 0.000

Output
As for the magnetic moment: 0.000 μB per cell. The energy relative to the elements is -0.652 eV/atom. The energy comes out at -6.45 eV per atom.



Entry 7:
CsMgHgF6: relaxed, PBE.

Lattice parameters (Å, degrees): 7.705 7.705 7.705 121.51 116.43 91.85
Fractional coordinates of all 18 atoms:
Cs 0.347 0.097 0.250
Cs 0.653 0.903 0.750
Mg 0.000 0.000 0.500
Mg 0.000 0.500 0.000
Hg 0.000 0.500 0.500
Hg 0.500 0.500 0.000
F 0.041 0.791 0.250
F 0.049 0.396 0.207
F 0.049 0.842 0.653
F 0.311 0.158 0.707
F 0.311 0.604 0.153
F 0.351 0.601 0.750
F 0.649 0.399 0.250
F 0.689 0.396 0.847
F 0.689 0.842 0.293
F 0.951 0.158 0.347
F 0.951 0.604 0.793
F 0.959 0.209 0.750

Output
As for the magnetic moment: 2.071 μB per cell. The raw formation energy comes out at -2.33 eV/atom. The energy comes out at -3.88 eV per atom.



Entry 8:
Er4GeTeAs2: relaxed, PBE.

Lattice parameters (Å, degrees): 7.193 7.193 7.193 131.72 131.72 70.67
Fractional coordinates of all 8 atoms:
Er 0.000 0.500 0.500
Er 0.240 0.240 0.000
Er 0.500 0.000 0.500
Er 0.760 0.760 0.000
Ge 0.750 0.250 0.500
Te 0.500 0.500 0.000
As 0.000 0.000 0.000
As 0.250 0.750 0.500

Output
As for the magnetic moment: 0.000 μB per cell. The raw formation energy comes out at -1.29 eV/atom. The energy comes out at -5.70 eV per atom.



Entry 9:
ZrBePd: relaxed, PBE.

Lattice parameters (Å, degrees): 11.745 3.489 6.681 90.00 90.00 90.00
Fractional coordinates of all 18 atoms:
Zr 0.040 0.000 0.239
Zr 0.250 0.000 0.852
Zr 0.460 0.000 0.239
Zr 0.540 0.000 0.761
Zr 0.750 0.000 0.148
Zr 0.960 0.000 0.761
Be 0.092 0.500 0.951
Be 0.250 0.000 0.436
Be 0.408 0.500 0.951
Be 0.592 0.500 0.049
Be 0.750 0.000 0.564
Be 0.908 0.500 0.049
Pd 0.126 0.500 0.576
Pd 0.250 0.500 0.200
Pd 0.374 0.500 0.576
Pd 0.626 0.500 0.424
Pd 0.750 0.500 0.800
Pd 0.874 0.500 0.424

Output
As for the magnetic moment: 0.000 μB per cell. The energy above the lowest structure with this stoichiometry is 0.0000 eV per atom. The energy relative to the elements is -0.541 eV/atom. The energy comes out at -6.36 eV per atom.



Entry 10:
CdCuMo2Pb: relaxed, PBE.

Lattice parameters (Å, degrees): 4.787 4.787 4.854 90.00 90.00 90.00
Fractional coordinates of all 5 atoms:
Cd 0.000 0.000 0.000
Cu 0.500 0.500 0.500
Mo 0.000 0.500 0.500
Mo 0.500 0.000 0.500
Pb 0.500 0.500 0.000

Output
As for the magnetic moment: 4.078 μB per cell. The energy relative to the elements is 1.431 eV/atom. The energy comes out at -4.65 eV per atom.



Entry 11:
ZnGe2Cl: relaxed, PBE.

Lattice parameters (Å, degrees): 7.511 7.511 7.511 134.35 134.35 66.55
Fractional coordinates of all 8 atoms:
Zn 0.000 0.000 0.000
Zn 0.750 0.250 0.500
Ge 0.079 0.625 0.954
Ge 0.375 0.329 0.454
Ge 0.671 0.125 0.046
Ge 0.875 0.921 0.546
Cl 0.250 0.750 0.500
Cl 0.500 0.500 0.000

Output
As for the magnetic moment: 0.000 μB per cell. The raw formation energy comes out at 0.31 eV/atom. The energy comes out at -2.78 eV per atom.



Entry 12:
Ce2BeNi6Ge: relaxed, PBE.

Lattice parameters (Å, degrees): 6.045 6.045 6.045 60.00 60.00 60.00
Fractional coordinates of all 10 atoms:
Ce 0.250 0.250 0.250
Ce 0.750 0.750 0.750
Be 0.000 0.000 0.000
Ni 0.234 0.234 0.766
Ni 0.234 0.766 0.234
Ni 0.234 0.766 0.766
Ni 0.766 0.234 0.234
Ni 0.766 0.234 0.766
Ni 0.766 0.766 0.234
Ge 0.500 0.500 0.500

Output
As for the magnetic moment: 0.613 μB per cell. The energy relative to the elements is -0.152 eV/atom. The energy comes out at -5.64 eV per atom.



Entry 13:
MnRu2Rh: relaxed, PBE.

Lattice parameters (Å, degrees): 4.631 4.631 4.636 100.13 100.13 33.92
Fractional coordinates of all 4 atoms:
Mn 0.000 0.000 0.000
Ru 0.252 0.252 0.754
Ru 0.748 0.748 0.246
Rh 0.500 0.500 0.500

Output
As for the magnetic moment: 1.982 μB per cell. The energy relative to the elements is 0.048 eV/atom. The energy comes out at -8.72 eV per atom.



Entry 14:
TaCoTc: relaxed, PBE.

Lattice parameters (Å, degrees): 9.633 9.020 4.788 82.36 68.13 29.51
Fractional coordinates of all 12 atoms:
Ta 0.046 0.046 0.204
Ta 0.204 0.204 0.046
Ta 0.796 0.796 0.954
Ta 0.954 0.954 0.796
Co 0.250 0.250 0.500
Co 0.500 0.500 0.250
Co 0.500 0.500 0.750
Co 0.750 0.750 0.500
Tc 0.206 0.544 0.206
Tc 0.456 0.794 0.456
Tc 0.544 0.206 0.544
Tc 0.794 0.456 0.794

Output
As for the magnetic moment: 0.000 μB per cell. The energy above the lowest structure with this stoichiometry is 0.0000 eV per atom. The energy relative to the elements is -0.098 eV/atom. The energy comes out at -9.87 eV per atom.